Here is a geometry-optimized HfMg2Zn structure from Alexandria via LeMat-Bulk. Energies are from GGA-PBE.

Computed properties:
- Calculated total energy: -0.264 Ry/atom
- Density of states at the Fermi level: 0.600 states/eV/atom
- M_tot: 0.00 Bohr magnetons per cell

Geometry as CIF:
```
data_HfMg2Zn
_cell_length_a 4.144
_cell_length_b 4.144
_cell_length_c 4.544
_cell_angle_alpha 90.00
_cell_angle_beta 90.00
_cell_angle_gamma 90.00
_symmetry_space_group_name_H-M 'P 4/m m m'
_symmetry_Int_Tables_number 123
_symmetry_space_group_name_Hall '-P 4 2'
loop_
_atom_site_label
_atom_site_fract_x
_atom_site_fract_y
_atom_site_fract_z
Hf1 0.000 0.000 0.000
Mg1 0.000 0.500 0.500
Zn1 0.500 0.500 0.000
```

***

Here is a geometry-optimized Hf2MgZn4 structure from Alexandria via LeMat-Bulk. Energies are from GGA-PBE.

Computed properties:
- Calculated total energy: -0.241 Ry/atom
- Density of states at the Fermi level: 0.663 states/eV/atom
- M_tot: 0.00 Bohr magnetons per cell

Geometry as CIF:
```
data_Hf2MgZn4
_cell_length_a 4.712
_cell_length_b 4.712
_cell_length_c 13.891
_cell_angle_alpha 90.00
_cell_angle_beta 90.00
_cell_angle_gamma 90.00
_symmetry_space_group_name_H-M 'I 4/m m m'
_symmetry_Int_Tables_number 139
_symmetry_space_group_name_Hall '-I 4 2'
loop_
_atom_site_label
_atom_site_fract_x
_atom_site_fract_y
_atom_site_fract_z
Hf1 0.000 0.000 0.107
Mg1 0.000 0.000 0.500
Zn1 0.000 0.000 0.307
Zn2 0.000 0.500 0.000
```

***

Here is a geometry-optimized HfMgZn3 structure from Alexandria via LeMat-Bulk. Energies are from GGA-PBE.

Computed properties:
- Calculated total energy: -0.172 Ry/atom
- Density of states at the Fermi level: 0.752 states/eV/atom
- Polymorph energy (0 for the lowest one): 901 meV per atom
- M_tot: 0.00 Bohr magnetons per cell

Geometry as CIF:
```
data_HfMgZn3
_cell_length_a 4.632
_cell_length_b 4.632
_cell_length_c 4.632
_cell_angle_alpha 90.00
_cell_angle_beta 90.00
_cell_angle_gamma 90.00
_symmetry_space_group_name_H-M 'P m -3 m'
_symmetry_Int_Tables_number 221
_symmetry_space_group_name_Hall '-P 4 2 3'
loop_
_atom_site_label
_atom_site_fract_x
_atom_site_fract_y
_atom_site_fract_z
Hf1 0.000 0.000 0.000
Mg1 0.500 0.500 0.500
Zn1 0.000 0.500 0.500
```

***

Here is a geometry-optimized HfMgZn2 structure from Alexandria via LeMat-Bulk. Energies are from GGA-PBE.

Computed properties:
- Calculated total energy: -0.271 Ry/atom
- Density of states at the Fermi level: 0.443 states/eV/atom
- M_tot: 0.00 Bohr magnetons per cell

Geometry as CIF:
```
data_HfMgZn2
_cell_length_a 4.527
_cell_length_b 4.527
_cell_length_c 3.472
_cell_angle_alpha 90.00
_cell_angle_beta 90.00
_cell_angle_gamma 90.00
_symmetry_space_group_name_H-M 'P 4/m m m'
_symmetry_Int_Tables_number 123
_symmetry_space_group_name_Hall '-P 4 2'
loop_
_atom_site_label
_atom_site_fract_x
_atom_site_fract_y
_atom_site_fract_z
Hf1 0.000 0.000 0.000
Mg1 0.500 0.500 0.000
Zn1 0.000 0.500 0.500
```

***

Here is a geometry-optimized Hf2MgZn6 structure from Alexandria via LeMat-Bulk. Energies are from GGA-PBE.

Computed properties:
- Calculated total energy: -0.245 Ry/atom
- Density of states at the Fermi level: 0.840 states/eV/atom
- Polymorph energy (0 for the lowest one): 94 meV per atom
- M_tot: 0.00 Bohr magnetons per cell

Geometry as CIF:
```
data_Hf2MgZn6
_cell_length_a 9.528
_cell_length_b 5.505
_cell_length_c 5.754
_cell_angle_alpha 90.00
_cell_angle_beta 90.08
_cell_angle_gamma 90.00
_symmetry_space_group_name_H-M 'C 1 2/m 1'
_symmetry_Int_Tables_number 12
_symmetry_space_group_name_Hall '-C 2y'
loop_
_atom_site_label
_atom_site_fract_x
_atom_site_fract_y
_atom_site_fract_z
Hf1 0.167 0.000 0.377
Mg1 0.000 0.500 0.500
Zn1 0.090 0.231 0.836
Zn2 0.179 0.500 0.165
```

***

Here is a geometry-optimized HfMgZn2 structure from Alexandria via LeMat-Bulk. Energies are from GGA-PBE.

Computed properties:
- Calculated total energy: -0.225 Ry/atom
- Density of states at the Fermi level: 0.754 states/eV/atom
- M_tot: 0.00 Bohr magnetons per cell

Geometry as CIF:
```
data_HfMgZn2
_cell_length_a 2.864
_cell_length_b 5.279
_cell_length_c 11.048
_cell_angle_alpha 90.00
_cell_angle_beta 90.00
_cell_angle_gamma 90.00
_symmetry_space_group_name_H-M 'I m m m'
_symmetry_Int_Tables_number 71
_symmetry_space_group_name_Hall '-I 2 2'
loop_
_atom_site_label
_atom_site_fract_x
_atom_site_fract_y
_atom_site_fract_z
Hf1 0.000 0.000 0.000
Mg1 0.000 0.000 0.500
Zn1 0.000 0.000 0.252
```

***

Here is a geometry-optimized Hf2MgZn6 structure from Alexandria via LeMat-Bulk. Energies are from GGA-PBE.

Computed properties:
- Calculated total energy: -0.252 Ry/atom
- Density of states at the Fermi level: 0.516 states/eV/atom
- Polymorph energy (0 for the lowest one): 0 meV per atom
- M_tot: 0.00 Bohr magnetons per cell

Geometry as CIF:
```
data_Hf2MgZn6
_cell_length_a 7.5984
_cell_length_b 7.5984
_cell_length_c 3.0533
_cell_angle_alpha 90.00
_cell_angle_beta 90.00
_cell_angle_gamma 120.00
_symmetry_space_group_name_H-M 'P 6/m m m'
_symmetry_Int_Tables_number 191
_symmetry_space_group_name_Hall '-P 6 2'
loop_
_atom_site_label
_atom_site_fract_x
_atom_site_fract_y
_atom_site_fract_z
Hf1 0.3333 0.6667 0.0000
Mg1 0.0000 0.0000 0.0000
Zn1 0.0000 0.3345 0.5000
```

***

Here is a geometry-optimized HfMg2Zn2 structure from Alexandria via LeMat-Bulk. Energies are from GGA-PBE.

Computed properties:
- Calculated total energy: -0.226 Ry/atom
- Density of states at the Fermi level: 0.501 states/eV/atom
- Polymorph energy (0 for the lowest one): 62 meV per atom
- M_tot: 0.00 Bohr magnetons per cell

Geometry as CIF:
```
data_HfMg2Zn2
_cell_length_a 3.971
_cell_length_b 3.971
_cell_length_c 11.934
_cell_angle_alpha 90.00
_cell_angle_beta 90.00
_cell_angle_gamma 90.00
_symmetry_space_group_name_H-M 'I 4/m m m'
_symmetry_Int_Tables_number 139
_symmetry_space_group_name_Hall '-I 4 2'
loop_
_atom_site_label
_atom_site_fract_x
_atom_site_fract_y
_atom_site_fract_z
Hf1 0.000 0.000 0.000
Mg1 0.000 0.500 0.250
Zn1 0.000 0.000 0.403
```

***

Here is a geometry-optimized Hf2MgZn2 structure from Alexandria via LeMat-Bulk. Energies are from GGA-PBE.

Computed properties:
- Calculated total energy: -0.343 Ry/atom
- Density of states at the Fermi level: 0.949 states/eV/atom
- Polymorph energy (0 for the lowest one): 233 meV per atom
- M_tot: 0.00 Bohr magnetons per cell

Geometry as CIF:
```
data_Hf2MgZn2
_cell_length_a 8.128
_cell_length_b 8.128
_cell_length_c 3.050
_cell_angle_alpha 90.00
_cell_angle_beta 90.00
_cell_angle_gamma 90.00
_symmetry_space_group_name_H-M 'P 4/m b m'
_symmetry_Int_Tables_number 127
_symmetry_space_group_name_Hall '-P 4 2ab'
loop_
_atom_site_label
_atom_site_fract_x
_atom_site_fract_y
_atom_site_fract_z
Hf1 0.131 0.369 0.000
Mg1 0.000 0.000 0.000
Zn1 0.168 0.668 0.500
```

***

Here is a geometry-optimized HfMg6Zn structure from Alexandria via LeMat-Bulk. Energies are from GGA-PBE.

Computed properties:
- Calculated total energy: -0.186 Ry/atom
- Density of states at the Fermi level: 0.691 states/eV/atom
- Polymorph energy (0 for the lowest one): 8 meV per atom
- M_tot: 0.00 Bohr magnetons per cell

Geometry as CIF:
```
data_HfMg6Zn
_cell_length_a 4.944
_cell_length_b 6.047
_cell_length_c 11.328
_cell_angle_alpha 90.00
_cell_angle_beta 90.00
_cell_angle_gamma 90.00
_symmetry_space_group_name_H-M 'A m m 2'
_symmetry_Int_Tables_number 38
_symmetry_space_group_name_Hall 'A 2 -2'
loop_
_atom_site_label
_atom_site_fract_x
_atom_site_fract_y
_atom_site_fract_z
Hf1 0.000 0.000 0.000
Mg1 0.000 0.249 0.748
Mg2 0.500 0.000 0.154
Mg3 0.500 0.000 0.636
Mg4 0.500 0.244 0.902
Zn1 0.000 0.000 0.484
```